1.
The following is a PBE calculation of a relaxed Sm2InSn2 crystal, from Alexandria via LeMat-Bulk.

extended XYZ file:
```
10
Lattice="-3.1089 2.7365 -1.8243 -3.7907 0.3115 6.9271 4.3142 6.2865 2.0781" Properties=species:S:1:pos:R:3 pbc="T T T"
Sm -0.5524 6.7660 5.4772
Sm -2.0330 2.5685 1.7037
Sm 0.6942 5.6649 1.7011
Sm -3.2796 3.6696 5.4798
Sn -1.8274 1.0121 4.6323
Sn -0.5817 4.2302 7.3368
Sn 2.3509 5.5859 4.3729
Sn 1.1052 2.3678 1.6684
In 0.2617 3.2990 4.5026
In 0.0000 0.0000 0.0000
```

Summary:
DOS at the Fermi energy: 5.85 states/eV/cell
calculated formation energy: -611 meV/atom
uncorrected energy: -4.648 eV per atom

2.
The following is a PBE calculation of a relaxed CaLa4Os crystal, from Alexandria via LeMat-Bulk.

extended XYZ file:
```
6
Lattice="0.0000 4.4913 4.4913 4.4913 0.0000 4.4913 4.4913 4.4913 0.0000" Properties=species:S:1:pos:R:3 pbc="T T T"
La 3.3938 5.5888 5.5888
La 3.3938 3.3938 3.3938
La 5.5888 3.3938 5.5888
La 5.5888 5.5888 3.3938
Ca 0.0000 0.0000 0.0000
Os 6.7369 6.7369 6.7369
```

Summary:
DOS at the Fermi energy: 10.62 states/eV/cell
relative energy among the computed polymorphs: 0.827 eV/atom
calculated formation energy: 786 meV/atom
uncorrected energy: -4.704 eV per atom

3.
The following is a PBE calculation of a relaxed Ac4TbY3Bi8 crystal, from Alexandria via LeMat-Bulk.

extended XYZ file:
```
16
Lattice="9.3765 0.0000 0.0000 0.0000 9.3628 -0.0175 -4.6882 -4.6852 6.6342" Properties=species:S:1:pos:R:3 pbc="T T T"
Y -2.3441 2.3388 3.3083
Y 4.6882 4.6814 -0.0088
Y 2.3441 2.3388 3.3083
Ac 4.6882 0.0000 0.0000
Ac 2.3441 -2.3426 3.3171
Ac 0.0000 0.0000 0.0000
Ac -2.3441 -2.3426 3.3171
Bi 0.0000 0.1374 3.4114
Bi 2.3447 2.4795 0.0941
Bi 4.6882 4.5401 3.2053
Bi 0.0000 4.5396 3.2074
Bi 4.6882 0.1380 3.4092
Bi -2.3435 2.1981 6.5225
Bi 7.0318 2.4795 0.0941
Bi 2.3435 2.1981 6.5225
Tb 0.0000 4.6814 -0.0088
```

Summary:
DOS at the Fermi energy: 3.20 states/eV/cell
calculated formation energy: -933 meV/atom
uncorrected energy: -5.402 eV per atom

4.
The following is a PBE calculation of a relaxed Sm2CoRu crystal, from Alexandria via LeMat-Bulk.

extended XYZ file:
```
4
Lattice="-2.1801 -0.1784 3.4468 -3.5154 -0.7577 -2.2627 2.6639 -4.7449 1.4393" Properties=species:S:1:pos:R:3 pbc="T T T"
Co -2.7240 -1.1678 0.6341
Sm -0.8871 -5.3016 -0.8355
Sm -0.5986 -2.8681 1.8904
Ru -1.4325 -2.2174 -1.0209
```

Summary:
DOS at the Fermi energy: 3.95 states/eV/cell
calculated formation energy: -158 meV/atom
uncorrected energy: -6.613 eV per atom

calculated formation energy of number 4 (Sm2CoRu)?
-158 meV/atom

Look up the calculated formation energy of the fourth one.
-158 meV/atom

What did the first record say?
The following is a PBE calculation of a relaxed Sm2InSn2 crystal, from Alexandria via LeMat-Bulk.

extended XYZ file:
```
10
Lattice="-3.1089 2.7365 -1.8243 -3.7907 0.3115 6.9271 4.3142 6.2865 2.0781" Properties=species:S:1:pos:R:3 pbc="T T T"
Sm -0.5524 6.7660 5.4772
Sm -2.0330 2.5685 1.7037
Sm 0.6942 5.6649 1.7011
Sm -3.2796 3.6696 5.4798
Sn -1.8274 1.0121 4.6323
Sn -0.5817 4.2302 7.3368
Sn 2.3509 5.5859 4.3729
Sn 1.1052 2.3678 1.6684
In 0.2617 3.2990 4.5026
In 0.0000 0.0000 0.0000
```

Summary:
DOS at the Fermi energy: 5.85 states/eV/cell
calculated formation energy: -611 meV/atom
uncorrected energy: -4.648 eV per atom